Entry 1:
# LiAlIn2F6

A relaxed structure of LiAlIn2F6 (PBE, Alexandria via LeMat-Bulk).

Calculated values
The total energy is -4.886 eV/atom. Its mass density is 4489 kg/m3. For the energy relative to the elements, uncorrected, the calculation gives -2650 meV per atom.

Cell lengths 5.8260, 8.2276, 5.8275 Å; angles 90.00, 90.00, 90.00 degrees
Last column: nearest neighbours and their distance in Å.
Space group Pmmn (No. 59, origin choice 2)
Asymmetric unit:
1 Li 0.2500 0.2500 0.2493 (multiplicity 2)  6 F 2.25-2.26
2 Al 0.2500 0.7500 0.2498 (multiplicity 2)  6 F 1.86
3 In 0.2500 0.0000 0.7497 (multiplicity 4)  12 F 2.92
4 F 0.0243 0.7500 0.0242 (multiplicity 4)  1 Al 1.86
5 F 0.0244 0.7500 0.4754 (multiplicity 4)  1 Al 1.86
6 F 0.2500 0.5240 0.2498 (multiplicity 4)  1 Al 1.86

=====

Entry 2:
# LiAlInF6

A relaxed structure of LiAlInF6 (PBE, Alexandria via LeMat-Bulk).

Calculated values
The total energy is -5.089 eV/atom. Its mass density is 3859 kg/m3. For the energy relative to the elements, uncorrected, the calculation gives -2909 meV per atom.

Cell lengths 5.1418, 5.1418, 4.9375 Å; angles 90.00, 90.00, 120.00 degrees
Last column: nearest neighbours and their distance in Å.
Space group P312 (No. 149)
Asymmetric unit:
1 Li 0.0000 0.0000 0.0000 (multiplicity 1)  6 F 2.04
2 Al 0.3333 0.6667 0.0000 (multiplicity 1)  6 F 1.84
3 In 0.6667 0.3333 0.5000 (multiplicity 1)  6 F 2.37
4 F 0.0471 0.3635 0.2100 (multiplicity 6)  1 Al 1.84, 1 Li 2.04

=====

Entry 3:
# Li2AlInF6

A relaxed structure of Li2AlInF6 (PBE, Alexandria via LeMat-Bulk).

Calculated values
The total energy is -5.092 eV/atom. Its mass density is 3316 kg/m3. For the energy relative to the elements, uncorrected, the calculation gives -2938 meV per atom.

Cell lengths 5.8018, 7.3584, 6.3269 Å; angles 90.00, 90.00, 90.00 degrees
Last column: nearest neighbours and their distance in Å.
Space group Imm2 (No. 44)
Asymmetric unit:
1 Li 0.0000 0.1963 0.0000 (multiplicity 4)  4 F 1.86-1.96
2 Al 0.0000 0.0000 0.4997 (multiplicity 2)  6 F 1.83-1.87
3 In 0.0000 0.5000 0.4077 (multiplicity 2)  6 F 2.78-2.99
4 F 0.0000 0.0000 0.2099 (multiplicity 2)  1 Al 1.83, 2 Li 1.96
5 F 0.0000 0.0000 0.7949 (multiplicity 2)  1 Al 1.87, 2 Li 1.94
6 F 0.2228 0.1765 0.5061 (multiplicity 8)  1 Al 1.83, 1 Li 1.86

=====

Entry 4:
# LiAl2InF

A relaxed structure of LiAl2InF (PBE, Alexandria via LeMat-Bulk).

Calculated values
The total energy is -3.243 eV/atom. Its mass density is 3115 kg/m3. For the energy relative to the elements, uncorrected, the calculation gives -441 meV per atom.

Cell lengths 5.6260, 5.6260, 3.2792 Å; angles 90.00, 90.00, 90.00 degrees
Last column: nearest neighbours and their distance in Å.
Space group P4/mmm (No. 123)
Asymmetric unit:
1 Li 0.0000 0.0000 0.0000 (multiplicity 1)  2 F 1.64
2 Al 0.0000 0.5000 0.0000 (multiplicity 2)  2 Li 2.81
3 In 0.5000 0.5000 0.5000 (multiplicity 1)  8 Al 3.26, 2 In 3.28
4 F 0.0000 0.0000 0.5000 (multiplicity 1)  2 Li 1.64

=====

Entry 5:
# MgAlInF6

A relaxed structure of MgAlInF6 (PBE, Alexandria via LeMat-Bulk).

Calculated values
The total energy is -5.282 eV/atom. Its mass density is 3286 kg/m3. For the energy relative to the elements, uncorrected, the calculation gives -3137 meV per atom.

Cell lengths 5.2061, 5.2061, 6.0304 Å; angles 90.00, 90.00, 120.00 degrees
Last column: nearest neighbours and their distance in Å.
Space group P312 (No. 149)
Asymmetric unit:
1 Mg 0.0000 0.0000 0.0000 (multiplicity 1)  6 F 2.02
2 Al 0.3333 0.6667 0.0000 (multiplicity 1)  6 F 1.84
3 In 0.6667 0.3333 0.5000 (multiplicity 1)  6 F 2.80
4 F 0.0601 0.3589 0.1722 (multiplicity 6)  1 Al 1.84, 1 Mg 2.02

=====

Entry 6:
# Mg2AlInF8

A relaxed structure of Mg2AlInF8 (PBE, Alexandria via LeMat-Bulk).

Calculated values
The total energy is -5.216 eV/atom. Its mass density is 3284 kg/m3. For the energy relative to the elements, uncorrected, the calculation gives -3163 meV per atom.

Cell lengths 8.0903, 6.1328, 7.2621 Å; angles 90.00, 106.04, 90.00 degrees
Last column: nearest neighbours and their distance in Å.
Space group C2/m (No. 12)
Asymmetric unit:
1 Mg 0.0557 0.0000 0.2275 (multiplicity 4)  5 F 1.94-2.03
2 Al 0.0000 0.5000 0.5000 (multiplicity 2)  6 F 1.79-1.86
3 In 0.0000 0.5000 0.0000 (multiplicity 2)  6 F 2.68-2.81
4 F 0.0040 0.2828 0.6804 (multiplicity 8)  1 Al 1.86, 1 Mg 1.97
5 F 0.1535 0.0000 0.0042 (multiplicity 4)  2 Mg 1.99-2.03
6 F 0.2300 0.5000 0.5693 (multiplicity 4)  1 Al 1.79, 1 Mg 1.94

=====

Entry 7:
# MgAlIn2F6

A relaxed structure of MgAlIn2F6 (PBE, Alexandria via LeMat-Bulk).

Calculated values
The total energy is -4.781 eV/atom. Its mass density is 3980 kg/m3. For the energy relative to the elements, uncorrected, the calculation gives -2577 meV per atom.

Cell lengths 7.5575, 7.5576, 6.8777 Å; angles 90.00, 122.98, 90.00 degrees
Last column: nearest neighbours and their distance in Å.
Space group C2/m (No. 12)
Asymmetric unit:
1 Mg 0.0000 0.0000 0.0000 (multiplicity 2)  4 F 1.93
2 Al 0.0000 0.5000 0.0000 (multiplicity 2)  6 F 1.80-1.85
3 In 0.0000 0.2491 0.5000 (multiplicity 4)  4 F 2.88-2.89
4 F 0.0000 0.2553 0.0000 (multiplicity 4)  1 Al 1.85, 1 Mg 1.93
5 F 0.1545 0.5000 0.3113 (multiplicity 4)  1 Al 1.80
6 F 0.2444 0.5000 0.9995 (multiplicity 4)  1 Al 1.85, 1 Mg 1.93